1.
A plane-wave DFT calculation with PBE was carried out for a relaxed structure of La6Cd2Ge.

Summary:
- Symmetry: P-62m
- Energy: -39.01 eV per cell
- DFT formation energy: -0.333 eV per atom

a = 4.0843 Å, b = 9.0125 Å, c = 9.0118 Å
α = 120.00°, β = 90.00°, γ = 90.00°
With the nearest neighbours (Å) after each atom.
Positions (direct):
La1 0.0000 0.0001 0.2579  2 Ge 3.09, 2 Cd 3.40
La2 0.0000 0.2578 0.0000  2 Ge 3.09, 2 Cd 3.40
La3 0.5000 0.3885 0.3885  4 Cd 3.46, 1 Ge 3.50, 6 La 3.70-3.79
La4 0.0000 0.7422 0.7421  2 Ge 3.09, 2 Cd 3.40
La5 0.5000 0.6114 0.0000  4 Cd 3.46, 1 Ge 3.50, 6 La 3.70-3.78
La6 0.5000 0.0000 0.6115  4 Cd 3.46, 1 Ge 3.50, 6 La 3.70-3.79
Cd1 0.0000 0.6666 0.3333  9 La 3.40-3.46
Cd2 0.0000 0.3333 0.6667  9 La 3.40-3.46
Ge1 0.5000 0.0001 0.0000  6 La 3.09



2.
A plane-wave DFT calculation with PBE was carried out for a relaxed structure of Pm6CdRh5.

Summary:
- Polymorph energy (0 for the lowest one): 0 meV/atom
- Symmetry: Cmmm
- Energy: -73.51 eV per cell
- DFT formation energy: -0.611 eV per atom

a = 5.0083 Å, b = 7.2194 Å, c = 7.9300 Å
α = 90.00°, β = 108.41°, γ = 90.00°
With the nearest neighbours (Å) after each atom.
Positions (direct):
Rh1 0.3320 0.5000 0.6625  8 Pm 2.98-3.07
Rh2 0.0000 0.5000 0.0000  8 Pm 3.02-3.14
Rh3 0.3406 0.0000 0.6794  8 Pm 3.08-3.12
Rh4 0.6594 0.0000 0.3206  8 Pm 3.08-3.12
Rh5 0.6680 0.5000 0.3375  8 Pm 2.98-3.07
Pm1 0.5000 0.2652 0.0000  6 Rh 3.02-3.08, 2 Cd 3.15
Pm2 0.1718 0.2548 0.3443  7 Rh 2.98-3.14, 1 Cd 3.18
Pm3 0.8282 0.2548 0.6557  7 Rh 2.98-3.14, 1 Cd 3.18
Pm4 0.8282 0.7452 0.6557  7 Rh 2.98-3.14, 1 Cd 3.18
Pm5 0.1718 0.7452 0.3443  7 Rh 2.98-3.14, 1 Cd 3.18
Pm6 0.5000 0.7348 0.0000  6 Rh 3.02-3.08, 2 Cd 3.15
Cd1 0.0000 0.0000 0.0000  8 Pm 3.15-3.18, 4 Rh 3.47-3.48



Q: Among the records above, which one has the lowest energy?
A: Pm6CdRh5



Q: Number 1 is which compound?
A: La6Cd2Ge